Below is an optimized crystal structure of CsKSe, with properties calculated at the PBE level.

a = 5.614 Å, b = 5.353 Å, c = 5.353 Å
α = 120.00°, β = 90.00°, γ = 90.00°
Fractional coordinates of all 3 atoms:
K1 0.213 0.333 0.667
Cs1 0.725 0.667 0.333
Se1 0.062 0.000 0.000

Results
- Symmetry: P3m1
- Energy relative to the elements, uncorrected: -22.7 kcal/mol of atoms
- Calculated total energy: -2.795 eV per atom

---

Below is an optimized crystal structure of Ta2FeW, with properties calculated at the PBE level.

a = 8.448 Å, b = 8.448 Å, c = 8.448 Å
α = 20.65°, β = 20.65°, γ = 20.65°
Site moments in Bohr magnetons follow the coordinates.
Fractional coordinates of all 4 atoms:
W1 0.250 0.250 0.250  0.01
Fe1 0.750 0.750 0.750  1.36
Ta1 0.004 0.004 0.004  -0.12
Ta2 0.496 0.496 0.496  -0.12

Results
- Symmetry: R-3m
- Energy of formation from the pure elements: 6.539 kcal/mol of atoms
- Calculated total energy: -10.997 eV per atom
- DOS(E_F): 3.46 states/eV/f.u.

---

Among the records above, which one has the lowest calculated total energy? Ta2FeW